This record from the Open Quantum Materials Database describes a relaxed AgAsAu2 crystal. The functional is PBE.

For the raw total energy, the calculation gives -13.2 eV per formula unit. As for the mass density: 12983 kg/m³.

The space group is F-43m (No. 216) and the conventional cell measures 6.657, 6.657 and 6.657 Å, with angles of 90.00, 90.00 and 90.00 degrees. The asymmetric unit holds Ag at (0.000, 0.000, 0.000), As at (0.250, 0.250, 0.750), Au at (0.000, 0.000, 0.500) and Au at (0.250, 0.250, 0.250).